No. 1
The following is a DFT calculation (PBE) of YErZnIn after structural relaxation.

Results
Energy of formation = -1.63 eV/f.u.
Crystal system = cubic
Relative energy among the computed polymorphs = 0.0216 eV per atom
DOS at the Fermi energy = 3.77 states/eV/f.u.
Symmetry = F-43m, No. 216
Magnetic moment = 0.00 μB/f.u.

a b c (Å): 5.1793 5.1793 5.1793
angles (deg): 60.00 60.00 60.00
Fractional coordinates of all 4 atoms:
Y: 0.7500 0.7500 0.7500
Er: 0.2500 0.2500 0.2500
In: 0.5000 0.5000 0.5000
Zn: 0.0000 0.0000 0.0000

***

No. 2
The following is a DFT calculation (PBE) of YErZnIn after structural relaxation.

Results
Energy of formation = -1.71 eV/f.u.
Crystal system = tetragonal
Relative energy among the computed polymorphs = 0.0000 eV per atom
DOS at the Fermi energy = 3.27 states/eV/f.u.
Symmetry = P4mm, No. 99
Magnetic moment = 0.00 μB/f.u.

a b c (Å): 3.6312 3.6312 7.3977
angles (deg): 90.00 90.00 90.00
Fractional coordinates of all 4 atoms:
In: 0.5000 0.5000 0.1108
Zn: 0.5000 0.5000 0.6016
Y: 0.0000 0.0000 0.8386
Er: 0.0000 0.0000 0.3768

***

No. 3
The following is a DFT calculation (PBE) of Er6ZnIn after structural relaxation.

Results
Energy of formation = -1.43 eV/f.u.
Crystal system = tetragonal
DOS at the Fermi energy = 10.00 states/eV/f.u.
Symmetry = I4/mmm, No. 139
Magnetic moment = 0.00 μB/f.u.

a b c (Å): 5.0006 5.0006 9.5496
angles (deg): 74.82 74.85 90.00
Fractional coordinates of all 8 atoms:
Er: 0.2497 0.2498 0.5005
Er: 0.8894 0.3894 0.2212
Er: 0.7503 0.7502 0.4995
Zn: 0.0000 0.0000 0.0000
Er: 0.3894 0.8894 0.2212
Er: 0.1106 0.6106 0.7788
Er: 0.6106 0.1106 0.7788
In: 0.5000 0.5000 0.0000

***

No. 4
The following is a DFT calculation (PBE) of Er3Zn4In after structural relaxation.

Results
Energy of formation = -1.49 eV/f.u.
Crystal system = orthorhombic
DOS at the Fermi energy = 6.17 states/eV/f.u.
Symmetry = Immm, No. 71
Magnetic moment = 0.00 μB/f.u.

a b c (Å): 3.5454 6.2835 9.0492
angles (deg): 110.32 101.30 90.00
Fractional coordinates of all 8 atoms:
Zn: 0.3754 0.5810 0.7508
Er: 0.2162 0.2162 0.4324
Zn: 0.6246 0.4190 0.2492
Zn: 0.6246 0.8302 0.2492
Zn: 0.3754 0.1698 0.7508
Er: 0.7838 0.7838 0.5676
In: 0.5000 0.0000 0.0000
Er: 0.0000 0.5000 0.0000

***

No. 5
The following is a DFT calculation (PBE) of Er2ZnIn3 after structural relaxation.

Results
Energy of formation = -2.31 eV/f.u.
Crystal system = orthorhombic
Relative energy among the computed polymorphs = 0.0000 eV per atom
DOS at the Fermi energy = 3.07 states/eV/f.u.
Symmetry = Fmmm, No. 69
Magnetic moment = 0.00 μB/f.u.

a b c (Å): 5.9711 5.9711 9.0760
angles (deg): 103.07 103.07 108.21
Fractional coordinates of all 12 atoms:
Er: 0.7500 0.2500 0.5000
In: 0.1712 0.6566 0.8278
Er: 0.7495 0.7495 0.0000
In: 0.1720 0.1720 0.3441
Er: 0.2500 0.7500 0.5000
Er: 0.2505 0.2505 0.0000
In: 0.6566 0.1712 0.8278
In: 0.8288 0.3434 0.1722
Zn: 0.6670 0.6670 0.3339
Zn: 0.3330 0.3330 0.6661
In: 0.8280 0.8280 0.6559
In: 0.3434 0.8288 0.1722

***

No. 6
The following is a DFT calculation (PBE) of Er2Zn16In after structural relaxation.

Results
Energy of formation = -3.79 eV/f.u.
Crystal system = trigonal
DOS at the Fermi energy = 4.85 states/eV/f.u.
Symmetry = R3m, No. 160
Magnetic moment = 0.00 μB/f.u.

a b c (Å): 6.8317 6.8317 6.8317
angles (deg): 83.12 83.12 83.12
Fractional coordinates of all 19 atoms:
Zn: 0.0062 0.4885 0.0062
Zn: 0.6440 0.6440 0.1721
Zn: 0.3069 0.9996 0.6942
Zn: 0.9996 0.6942 0.3069
Zn: 0.6942 0.3069 0.9996
Zn: 0.3069 0.6942 0.9996
Zn: 0.1721 0.6440 0.6440
Zn: 0.3506 0.8349 0.3506
Er: 0.6588 0.6588 0.6588
Zn: 0.4885 0.0062 0.0062
Zn: 0.3506 0.3506 0.8349
Zn: 0.0062 0.0062 0.4885
Zn: 0.6942 0.9996 0.3069
Zn: 0.6440 0.1721 0.6440
Er: 0.3361 0.3361 0.3361
In: 0.9005 0.9005 0.9005
Zn: 0.1062 0.1062 0.1062
Zn: 0.8349 0.3506 0.3506
Zn: 0.9996 0.3069 0.6942

***

No. 7
The following is a DFT calculation (PBE) of ErZn2In after structural relaxation.

Results
Energy of formation = -0.63 eV/f.u.
Crystal system = tetragonal
DOS at the Fermi energy = 2.17 states/eV/f.u.
Symmetry = P4/mmm, No. 123
Magnetic moment = 0.27 μB/f.u.

a b c (Å): 3.4931 3.4931 6.9315
angles (deg): 90.00 90.00 90.00
Last column: magnetic moment on the atom in μB.
Fractional coordinates of all 4 atoms:
Zn: 0.0000 0.0000 0.7354  0.00
In: 0.5000 0.5000 0.5000  0.00
Zn: 0.0000 0.0000 0.2646  0.00
Er: 0.5000 0.5000 0.0000  0.20

***

No. 8
The following is a DFT calculation (PBE) of Er4ZnIn after structural relaxation.

Results
Energy of formation = -0.16 eV/f.u.
Crystal system = tetragonal
Relative energy among the computed polymorphs = 0.2360 eV per atom
DOS at the Fermi energy = 6.69 states/eV/f.u.
Symmetry = P4/mmm, No. 123
Magnetic moment = 0.00 μB/f.u.

a b c (Å): 4.9889 4.9884 7.2069
angles (deg): 89.99 90.00 90.00
Fractional coordinates of all 6 atoms:
Er: 0.5013 0.9972 0.2629
Er: 0.0013 0.4973 0.7335
Zn: 0.0014 0.9971 0.4981
Er: 0.5013 0.9975 0.7334
In: 0.5013 0.4974 0.9981
Er: 0.0012 0.4972 0.2629

***

No. 9
The following is a DFT calculation (PBE) of Er6ZnIn5 after structural relaxation.

Results
Energy of formation = -5.13 eV/f.u.
Crystal system = monoclinic
DOS at the Fermi energy = 6.85 states/eV/f.u.
Symmetry = P2/m, No. 10
Magnetic moment = 0.00 μB/f.u.

a b c (Å): 5.2574 7.3405 8.3219
angles (deg): 90.00 71.39 90.00
Fractional coordinates of all 12 atoms:
In: 0.6688 0.5000 0.6630
In: 0.3312 0.5000 0.3370
Er: 0.5000 0.7574 0.0000
Zn: 0.0000 0.0000 0.0000
Er: 0.8370 0.2455 0.3256
Er: 0.1630 0.7545 0.6744
In: 0.3334 0.0000 0.3330
In: 0.0000 0.5000 0.0000
Er: 0.5000 0.2426 0.0000
Er: 0.1630 0.2455 0.6744
In: 0.6666 0.0000 0.6670
Er: 0.8370 0.7545 0.3256

***

No. 10
The following is a DFT calculation (PBE) of Er2Zn5In after structural relaxation.

Results
Energy of formation = -2.57 eV/f.u.
Crystal system = orthorhombic
DOS at the Fermi energy = 5.37 states/eV/f.u.
Symmetry = Cmcm, No. 63
Magnetic moment = 0.00 μB/f.u.

a b c (Å): 4.2916 8.3443 9.0825
angles (deg): 90.00 90.00 104.90
Fractional coordinates of all 16 atoms:
Er: 0.0000 0.0000 0.0000
Er: 0.7990 0.5980 0.7500
Zn: 0.1890 0.3780 0.6089
In: 0.5511 0.1021 0.2500
Zn: 0.3473 0.6946 0.5191
Er: 0.2010 0.4020 0.2500
Zn: 0.3890 0.7779 0.2500
Zn: 0.8110 0.6220 0.1089
Zn: 0.3473 0.6946 0.9809
Zn: 0.6527 0.3054 0.4809
Er: 0.0000 0.0000 0.5000
Zn: 0.8110 0.6220 0.3911
Zn: 0.1890 0.3780 0.8911
Zn: 0.6110 0.2221 0.7500
In: 0.4489 0.8979 0.7500
Zn: 0.6527 0.3054 0.0191